Entry from the Alexandria database: crystalline Tb2Pr3Sm6Mg at its relaxed geometry (PBE).

Properties
Energy relative to the elements, eV/atom: 0.029
Electronic total energy, eV/atom: -4.4299

Lattice parameters (Å, degrees): 6.2730 6.2730 11.9245 95.06 95.06 120.07
With the nearest neighbours (Å) after each atom.
Element x y z (fractional)
Tb (0.1666, 0.8334, 0.0000)  6 Sm 3.55-3.56, 3 Mg 3.62, 3 Tb 3.62
Tb (0.8334, 0.1666, 0.0000)  6 Sm 3.55-3.56, 3 Mg 3.62, 3 Tb 3.62
Pr (0.0000, 0.0000, 0.5000)  6 Pr 3.62, 6 Sm 3.65-3.66
Pr (0.3333, 0.6667, 0.5000)  6 Pr 3.62, 6 Sm 3.65-3.67
Pr (0.6667, 0.3333, 0.5000)  6 Pr 3.62, 6 Sm 3.65-3.67
Sm (0.0881, 0.4197, 0.7561)  1 Mg 3.54, 2 Tb 3.55, 6 Sm 3.60-3.63, 3 Pr 3.66-3.67
Sm (0.2490, 0.2490, 0.2452)  1 Mg 3.56, 2 Tb 3.56, 6 Sm 3.60-3.63, 3 Pr 3.65
Sm (0.4197, 0.0881, 0.7561)  1 Mg 3.54, 2 Tb 3.55, 6 Sm 3.60-3.63, 3 Pr 3.66-3.67
Sm (0.5803, 0.9119, 0.2439)  1 Mg 3.54, 2 Tb 3.55, 6 Sm 3.60-3.63, 3 Pr 3.66-3.67
Sm (0.7510, 0.7510, 0.7548)  1 Mg 3.56, 2 Tb 3.56, 6 Sm 3.60-3.63, 3 Pr 3.65
Sm (0.9119, 0.5803, 0.2439)  1 Mg 3.54, 2 Tb 3.55, 6 Sm 3.60-3.63, 3 Pr 3.66-3.67
Mg (0.5000, 0.5000, 0.0000)  6 Sm 3.54-3.56, 6 Tb 3.62

Entry from the Alexandria database: crystalline Tl2SiPb at its relaxed geometry (PBE).

Properties
Polymorph energy (0 for the lowest one), kJ/mol of atoms: 6.9
Electronic total energy, eV/atom: -3.1230
Energy relative to the elements, uncorrected, eV per atom: 0.34

Lattice parameters (Å, degrees): 3.4333 4.8789 6.5868 90.00 98.98 90.00
With the nearest neighbours (Å) after each atom.
Element x y z (fractional)
Tl (0.0860, 0.0000, 0.2694)  2 Si 3.10, 3 Tl 3.18-3.43, 4 Pb 3.45-3.47
Tl (0.9140, 0.0000, 0.7306)  2 Si 3.10, 3 Tl 3.18-3.43, 4 Pb 3.45-3.47
Si (0.5000, 0.5000, 0.5000)  4 Tl 3.10, 2 Pb 3.29, 2 Si 3.43
Pb (0.5000, 0.5000, 0.0000)  2 Si 3.29, 2 Pb 3.43, 8 Tl 3.45-3.47

Entry from the Alexandria database: crystalline Y2Al4AgPt3 at its relaxed geometry (PBE).

Properties
Energy relative to the elements, eV/atom: -0.952
Electronic total energy, eV/atom: -5.8392

Lattice parameters (Å, degrees): 4.2257 4.2257 10.6046 90.00 90.00 90.00
With the nearest neighbours (Å) after each atom.
Element x y z (fractional)
Y (0.0000, 0.5000, 0.2426)  6 Pt 3.20-3.45, 8 Al 3.26-3.33, 2 Ag 3.45
Y (0.5000, 0.0000, 0.7574)  6 Pt 3.20-3.45, 8 Al 3.26-3.33, 2 Ag 3.45
Al (0.0000, 0.0000, 0.0000)  4 Pt 2.54
Al (0.0000, 0.5000, 0.6351)  3 Pt 2.45-2.55, 2 Ag 2.55
Al (0.5000, 0.0000, 0.3649)  3 Pt 2.45-2.55, 2 Ag 2.55
Al (0.5000, 0.5000, 0.0000)  4 Pt 2.54
Ag (0.0000, 0.0000, 0.5000)  4 Al 2.55
Pt (0.0000, 0.5000, 0.8665)  5 Al 2.45-2.54
Pt (0.5000, 0.0000, 0.1335)  5 Al 2.45-2.54
Pt (0.5000, 0.5000, 0.5000)  4 Al 2.55

Entry from the Alexandria database: crystalline RbLi2SmBr6 at its relaxed geometry (PBE).

Properties
Electronic total energy, eV/atom: -3.6472
Energy relative to the elements, uncorrected, eV per atom: -1.69

Lattice parameters (Å, degrees): 7.3686 7.3709 7.9835 117.49 90.00 119.92
With the nearest neighbours (Å) after each atom.
Element x y z (fractional)
Rb (0.0000, 0.0000, 0.0000)  6 Br 3.34-3.57
Li (0.2147, 0.4296, 0.6427)  6 Br 2.69-3.00
Li (0.7246, 0.4503, 0.1749)  6 Br 2.76-2.99
Sm (0.5259, 0.0523, 0.5787)  6 Br 2.88-2.89
Br (0.1106, 0.5784, 0.3856)  2 Li 2.77-2.99, 1 Sm 2.88
Br (0.3945, 0.3438, 0.8667)  2 Li 2.69-2.98, 1 Sm 2.89
Br (0.4670, 0.2749, 0.3855)  2 Li 2.77-2.99, 1 Sm 2.88
Br (0.5227, 0.9178, 0.8668)  2 Li 2.69-2.99, 1 Sm 2.89
Br (0.8068, 0.9175, 0.3851)  2 Li 2.76-3.00, 1 Sm 2.88
Br (0.9482, 0.4711, 0.8661)  2 Li 2.69-2.99, 1 Sm 2.89

Entry from the Alexandria database: crystalline Rb2TiCu2Te4 at its relaxed geometry (PBE).

Properties
Electronic total energy, eV/atom: -4.0257
Energy relative to the elements, uncorrected, eV per atom: -0.63

Lattice parameters (Å, degrees): 8.0777 8.0777 8.6302 108.00 108.00 29.70
With the nearest neighbours (Å) after each atom.
Element x y z (fractional)
Rb (0.1336, 0.1336, 0.0643)  7 Te 3.61-3.83, 1 Rb 3.96, 3 Cu 3.97-4.03
Rb (0.8664, 0.8664, 0.9357)  7 Te 3.61-3.83, 1 Rb 3.96, 3 Cu 3.97-4.03
Ti (0.0000, 0.0000, 0.5000)  6 Te 2.84-2.85
Cu (0.3094, 0.3094, 0.5141)  4 Te 2.64-2.67, 2 Cu 2.74
Cu (0.6906, 0.6906, 0.4859)  4 Te 2.64-2.67, 2 Cu 2.74
Te (0.1890, 0.1890, 0.6743)  3 Cu 2.64-2.67, 1 Ti 2.85
Te (0.4798, 0.4798, 0.7117)  1 Cu 2.66, 2 Ti 2.84
Te (0.5202, 0.5202, 0.2883)  1 Cu 2.66, 2 Ti 2.84
Te (0.8110, 0.8110, 0.3257)  3 Cu 2.64-2.67, 1 Ti 2.85

Entry from the Alexandria database: crystalline Tc5Os at its relaxed geometry (PBE).

Properties
Polymorph energy (0 for the lowest one), kJ/mol of atoms: 0.7
Energy relative to the elements, eV/atom: -0.021
Electronic total energy, eV/atom: -10.5308

Lattice parameters (Å, degrees): 4.7836 4.7836 4.3933 90.00 90.00 120.00
With the nearest neighbours (Å) after each atom.
Element x y z (fractional)
Tc (0.0000, 0.6677, 0.0000)  2 Os 2.71, 10 Tc 2.72-2.77
Tc (0.3323, 0.3323, 0.0000)  2 Os 2.71, 10 Tc 2.72-2.77
Tc (0.3333, 0.6667, 0.5000)  9 Tc 2.72-2.76, 3 Os 2.76
Tc (0.6667, 0.3333, 0.5000)  9 Tc 2.72-2.76, 3 Os 2.76
Tc (0.6677, 0.0000, 0.0000)  2 Os 2.71, 10 Tc 2.72-2.77
Os (0.0000, 0.0000, 0.5000)  12 Tc 2.71-2.76